# 1
# GdTm2In3PdAu2

A relaxed structure of GdTm2In3PdAu2 (PBE-GGA, the Open Quantum Materials Database).

Cell lengths 3.8958, 7.7532, 7.7532 Å; angles 120.24, 90.00, 90.00 degrees
Fractional positions:
Tm1 0.0000 0.9997 0.4037
Tm2 0.0000 0.4037 0.9997
Pd1 0.0000 0.0033 0.0033
Au1 0.5000 0.3297 0.6683
Au2 0.5000 0.6683 0.3297
In1 0.5000 0.2565 0.2565
In2 0.5000 0.0002 0.7443
In3 0.5000 0.7443 0.0002
Gd1 0.0000 0.5944 0.5944

Summary:
Its space-group type is Amm2, No. 38. The value obtained for the energy is -40.6 eV per cell. The total magnetic moment is 0.0 μB per formula unit. The calculation puts the volume at 202.3 Å³ per cell.

***

# 2
# SmTlAgSe3

A relaxed structure of SmTlAgSe3 (PBE-GGA, the Open Quantum Materials Database).

Cell lengths 7.4707, 7.4707, 11.0358 Å; angles 90.00, 90.00, 147.96 degrees
Fractional positions:
Ag1 0.4645 0.5355 0.2500
Ag2 0.5355 0.4645 0.7500
Tl1 0.7544 0.2456 0.2500
Tl2 0.2456 0.7544 0.7500
Se1 0.6384 0.3616 0.9465
Se2 0.9201 0.0799 0.7500
Se3 0.0799 0.9201 0.2500
Se4 0.3616 0.6384 0.0535
Se5 0.6384 0.3616 0.5535
Se6 0.3616 0.6384 0.4465
Sm1 0.0000 0.0000 0.5000
Sm2 0.0000 0.0000 0.0000

Summary:
Its space-group type is Cmcm, No. 63. The value obtained for the energy is -51.1 eV per cell. The total magnetic moment is 0.0 μB per formula unit. The calculation puts the volume at 326.8 Å³ per cell.

***

# 3
# ZrZnFeIr

A relaxed structure of ZrZnFeIr (PBE-GGA, the Open Quantum Materials Database).

Cell lengths 4.4858, 4.4858, 4.4858 Å; angles 60.00, 60.00, 60.00 degrees
Fractional positions:
Ir1 0.5000 0.5000 0.5000
Fe1 0.7500 0.7500 0.7500
Zn1 0.0000 0.0000 0.0000
Zr1 0.2500 0.2500 0.2500

Summary:
Its space-group type is F-43m, No. 216. As for the offset from the most stable computed form: 0.140 eV per atom. The total magnetic moment is 3.5 μB per formula unit. The calculation puts the volume at 63.8 Å³ per cell. The formation energy is -172.1 meV/atom.

***

# 4
# SrUTc

A relaxed structure of SrUTc (PBE-GGA, the Open Quantum Materials Database).

Cell lengths 4.7519, 4.7519, 4.7519 Å; angles 60.00, 60.00, 60.00 degrees
Last column: magnetic moment on the atom in μB.
Fractional positions:
U1 0.7500 0.7500 0.7500  2.20
Tc1 0.0000 0.0000 0.0000  -0.52
Sr1 0.5000 0.5000 0.5000  0.19

Summary:
Its space-group type is F-43m, No. 216. As for the offset from the most stable computed form: 0.000 eV per atom. The total magnetic moment is 2.2 μB per formula unit. The calculation puts the volume at 75.9 Å³ per cell.

***

# 5
# TaCoSbIr

A relaxed structure of TaCoSbIr (PBE-GGA, the Open Quantum Materials Database).

Cell lengths 4.4967, 4.4967, 4.4967 Å; angles 60.00, 60.00, 60.00 degrees
Last column: magnetic moment on the atom in μB.
Fractional positions:
Sb1 0.0000 0.0000 0.0000  -0.02
Ta1 0.2500 0.2500 0.2500  -0.10
Ir1 0.5000 0.5000 0.5000  -0.03
Co1 0.7500 0.7500 0.7500  0.86

Summary:
Its space-group type is F-43m, No. 216. As for the offset from the most stable computed form: 0.071 eV per atom. The total magnetic moment is 0.6 μB per formula unit. The calculation puts the volume at 64.3 Å³ per cell.

***

# 6
# LuAlGe2

A relaxed structure of LuAlGe2 (PBE-GGA, the Open Quantum Materials Database).

Cell lengths 4.8932, 4.8932, 4.8932 Å; angles 60.00, 60.00, 60.00 degrees
Fractional positions:
Lu1 0.2500 0.2500 0.2500
Ge1 0.7500 0.7500 0.7500
Ge2 0.0000 0.0000 0.0000
Al1 0.5000 0.5000 0.5000

Summary:
Its space-group type is F-43m, No. 216. The value obtained for the energy is -17.5 eV per cell. The total magnetic moment is 0.0 μB per formula unit. The calculation puts the volume at 82.8 Å³ per cell.

***

# 7
# Pr4Pt3Au

A relaxed structure of Pr4Pt3Au (PBE-GGA, the Open Quantum Materials Database).

Cell lengths 5.8142, 4.6723, 7.4346 Å; angles 90.00, 90.01, 90.00 degrees
Fractional positions:
Pt1 0.6541 0.5000 0.5452
Pt2 0.3428 0.0000 0.4565
Pt3 0.8502 0.5000 0.0426
Pr1 0.6414 0.0000 0.8121
Pr2 0.8583 0.0000 0.3192
Pr3 0.1370 0.5000 0.6742
Pr4 0.3683 0.5000 0.1918
Au1 0.1480 0.0000 0.9583

Summary:
Its space-group type is Pm, No. 6. The total magnetic moment is 0.0 μB per formula unit. The calculation puts the volume at 202.0 Å³ per cell. The formation energy is -1043.0 meV/atom.

***

# 8
# BeTlNiPt

A relaxed structure of BeTlNiPt (PBE-GGA, the Open Quantum Materials Database).

Cell lengths 4.3745, 4.3745, 4.3745 Å; angles 60.00, 60.00, 60.00 degrees
Fractional positions:
Ni1 0.7500 0.7500 0.7500
Pt1 0.2500 0.2500 0.2500
Be1 0.5000 0.5000 0.5000
Tl1 0.0000 0.0000 0.0000

Summary:
Its space-group type is F-43m, No. 216. As for the offset from the most stable computed form: 0.020 eV per atom. The total magnetic moment is 0.0 μB per formula unit. The calculation puts the volume at 59.2 Å³ per cell.

***

# 9
# TaNbAu

A relaxed structure of TaNbAu (PBE-GGA, the Open Quantum Materials Database).

Cell lengths 4.8136, 4.8136, 2.7051 Å; angles 90.00, 90.00, 120.00 degrees
Fractional positions:
Au1 0.3333 0.6667 0.4922
Nb1 0.0000 0.0000 0.9998
Ta1 0.6667 0.3333 0.5080

Summary:
Its space-group type is P3m1, No. 156. As for the offset from the most stable computed form: 0.000 eV per atom. The total magnetic moment is 0.0 μB per formula unit. The calculation puts the volume at 54.3 Å³ per cell. The formation energy is 125.1 meV/atom.

***

# 10
# TePd2CSe

A relaxed structure of TePd2CSe (PBE-GGA, the Open Quantum Materials Database).

Cell lengths 3.3306, 3.3306, 9.9440 Å; angles 90.00, 90.00, 120.00 degrees
Fractional positions:
Pd1 0.3333 0.6667 0.8830
Pd2 0.6667 0.3333 0.1059
Se1 0.6667 0.3333 0.7050
Te1 0.3333 0.6667 0.3169
C1 0.0000 0.0000 0.9892

Summary:
Its space-group type is P3m1, No. 156. The value obtained for the energy is -23.5 eV per cell. The calculation puts the volume at 95.5 Å³ per cell.

***

# 11
# CsLuSi

A relaxed structure of CsLuSi (PBE-GGA, the Open Quantum Materials Database).

Cell lengths 5.3288, 5.3288, 5.3288 Å; angles 60.00, 60.00, 60.00 degrees
Fractional positions:
Si1 0.0000 0.0000 0.0000
Cs1 0.2500 0.2500 0.2500
Lu1 0.7500 0.7500 0.7500

Summary:
Its space-group type is F-43m, No. 216. As for the offset from the most stable computed form: 0.000 eV per atom. The total magnetic moment is 0.0 μB per formula unit. The calculation puts the volume at 107.0 Å³ per cell.

***

# 12
# ReN2

A relaxed structure of ReN2 (PBE-GGA, the Open Quantum Materials Database).

Cell lengths 6.9175, 6.9175, 6.9175 Å; angles 156.80, 148.67, 39.34 degrees
Fractional positions:
Re1 0.1586 0.1586 0.0000
Re2 0.8414 0.8414 0.0000
N1 0.0494 0.5494 0.5000
N2 0.2918 0.7918 0.5000
N3 0.7082 0.2082 0.5000
N4 0.9506 0.4506 0.5000

Summary:
Its space-group type is Immm, No. 71. The value obtained for the energy is -56.4 eV per cell. The total magnetic moment is 0.0 μB per formula unit. The calculation puts the volume at 67.7 Å³ per cell.